## SrHfSbTe2 (PBE)

Data for an optimized crystal structure of SrHfSbTe2.

The calculation puts the total DFT energy (no corrections) at -25.3 eV/cell. Its uncorrected formation energy is -0.6449 eV/atom. The offset from the most stable computed form comes out at 0 meV per atom. The calculation puts the density at 6.08 g/cm³.

The space group is P4/mmm (No. 123) and the conventional cell measures 5.609, 5.609 and 5.580 Å, with angles of 90.00, 90.00 and 90.00 degrees. The distinct sites, in fractional coordinates, are Sr at (0.000, 0.000, 0.000), Hf at (0.500, 0.500, 0.500), Sb at (0.500, 0.500, 0.000) and Te at (0.000, 0.500, 0.500).